Material: Si5Se3
Method: DFT, PBE
State: optimized geometry

Output
Offset from the most stable computed form ... 1.6 kJ/mol of atoms

abc: 8.022 8.023 7.965
angles: 96.46 96.45 141.04
Sites, in units of the cell vectors:
Se1 0.313 0.307 0.500
Se2 0.815 0.327 0.014
Se3 0.051 0.074 0.000
Se4 0.800 0.821 0.500
Se5 0.301 0.813 0.986
Se6 0.550 0.574 0.000
Si1 0.054 0.317 0.241
Si2 0.070 0.786 0.727
Si3 0.333 0.071 0.283
Si4 0.551 0.289 0.717
Si5 0.802 0.054 0.738
Si6 0.843 0.559 0.273
Si7 0.312 0.576 0.759
Si8 0.579 0.073 0.500
Si9 0.056 0.542 0.500
Si10 0.564 0.816 0.262



Material: SiSe3
Method: DFT, PBE
State: optimized geometry

abc: 4.311 4.311 4.311
angles: 90.00 90.00 90.00
Sites, in units of the cell vectors:
Se1 0.000 0.500 0.500
Se2 0.500 0.500 0.000
Se3 0.500 0.000 0.500
Si1 0.000 0.000 0.000



Material: SiSe3
Method: DFT, PBE
State: optimized geometry

abc: 2.785 2.785 11.820
angles: 90.00 90.00 102.44
Sites, in units of the cell vectors:
Se1 0.000 0.000 0.057
Se2 0.000 0.000 0.443
Se3 0.500 0.500 0.750
Si1 0.500 0.500 0.250



Material: SiSe2
Method: DFT, PBE
State: optimized geometry

abc: 4.987 4.987 2.748
angles: 90.00 90.00 90.00
Sites, in units of the cell vectors:
Se1 0.000 0.500 0.500
Se2 0.500 0.000 0.500
Si1 0.000 0.000 0.000



Material: Si8Se
Method: DFT, PBE
State: optimized geometry

abc: 6.914 6.914 6.914
angles: 92.78 92.78 154.57
Sites, in units of the cell vectors:
Si1 0.338 0.000 0.338
Si2 0.662 0.000 0.662
Si3 0.673 0.673 0.345
Si4 0.327 0.673 0.000
Si5 0.673 0.327 0.000
Si6 0.000 0.662 0.662
Si7 0.327 0.327 0.655
Si8 0.000 0.338 0.338
Se1 0.000 0.000 0.000



Material: Si4Se
Method: DFT, PBE
State: optimized geometry

Output
Offset from the most stable computed form ... 96.5 kJ/mol of atoms

abc: 4.818 4.818 4.818
angles: 90.00 90.00 90.00
Sites, in units of the cell vectors:
Si1 0.500 0.500 0.000
Si2 0.000 0.500 0.500
Si3 0.000 0.000 0.000
Si4 0.500 0.000 0.500
Se1 0.500 0.500 0.500



Raw formation energy values, unit eV per atom, following the record order: 0.189 0.700 0.417 0.426 0.515 1.293.